No. 1
Entry from the Alexandria database: an optimized crystal structure of NbGaRu (PBE).

It has space group C2/m (No. 12), with a = 9.4308 Å, b = 4.2273 Å, c = 5.3421 Å, α = 90.00°, β = 118.85° and γ = 90.00°. The inequivalent atoms are Nb at (0.0032, 0.0000, 0.2560), Ga at (0.1696, 0.5000, 0.1238) and Ru at (0.1718, 0.5000, 0.6214).

The formation energy comes out at -318 meV/atom. The value obtained for the density of states at the Fermi level is 1.83 states/eV/f.u.

---

No. 2
Entry from the Alexandria database: an optimized crystal structure of Mg2FeP (PBE).

It has space group I4/mmm (No. 139), with a = 3.8078 Å, b = 3.8078 Å, c = 8.3981 Å, α = 90.00°, β = 90.00° and γ = 90.00°. The inequivalent atoms are Mg at (0.0000, 0.5000, 0.2500), Fe at (0.0000, 0.0000, 0.0000) and P at (0.0000, 0.0000, 0.5000).

The formation energy comes out at 75 meV/atom. The value obtained for the density of states at the Fermi level is 2.06 states/eV/f.u.

---

No. 3
Entry from the Alexandria database: an optimized crystal structure of KLiSeBr (PBE).

It has space group Pmm2 (No. 25), with a = 4.1293 Å, b = 4.7471 Å, c = 6.2266 Å, α = 90.00°, β = 90.00° and γ = 90.00°. The inequivalent atoms are K at (0.0000, 0.0000, 0.0000), Li at (0.0000, 0.5000, 0.5606), Se at (0.5000, 0.5000, 0.7872) and Br at (0.5000, 0.5000, 0.2845).

As for the offset from the most stable computed form: 0.031 eV per atom. The value obtained for the density of states at the Fermi level is 1.55 states/eV/f.u. The calculation puts the formation energy (no corrections) at -1.021 eV per atom.

---

No. 4
Entry from the Alexandria database: an optimized crystal structure of K3Ag (PBE).

It has space group Pmm2 (No. 25), with a = 4.3679 Å, b = 4.5263 Å, c = 11.5175 Å, α = 90.00°, β = 90.00° and γ = 90.00°. The inequivalent atoms are K at (0.0000, 0.0000, 0.0000), K at (0.0000, 0.5000, 0.3410), K at (0.5000, 0.5000, 0.6886) and Ag at (0.5000, 0.0000, 0.4636).

The formation energy comes out at 91 meV/atom. As for the offset from the most stable computed form: 0.062 eV per atom. The value obtained for the density of states at the Fermi level is 2.07 states/eV/f.u.

---

No. 5
Entry from the Alexandria database: an optimized crystal structure of Ac6Ge3As2Cl (PBE).

It has space group C2/m (No. 12), with a = 19.9577 Å, b = 4.5530 Å, c = 9.1750 Å, α = 90.00°, β = 103.74° and γ = 90.00°. The inequivalent atoms are Ac at (0.9999, 0.0000, 0.2335), Ac at (0.1671, 0.5000, 0.0814), Ac at (0.1704, 0.5000, 0.5872), Ge at (0.0000, 0.5000, 0.0000), Ge at (0.1637, 0.0000, 0.3361), As at (0.1649, 0.0000, 0.8299) and Cl at (0.0000, 0.5000, 0.5000).

The value obtained for the density of states at the Fermi level is 9.60 states/eV/f.u. The calculation puts the formation energy (no corrections) at -1.119 eV per atom.

---

No. 6
Entry from the Alexandria database: an optimized crystal structure of NaZn2Te2 (PBE).

It has space group I4/mmm (No. 139), with a = 4.6301 Å, b = 4.6301 Å, c = 14.0849 Å, α = 90.00°, β = 90.00° and γ = 90.00°. The inequivalent atoms are Na at (0.0000, 0.0000, 0.0000), Zn at (0.0000, 0.5000, 0.2500) and Te at (0.0000, 0.0000, 0.3585).

As for the offset from the most stable computed form: 0.000 eV per atom. The value obtained for the density of states at the Fermi level is 1.34 states/eV/f.u. The calculation puts the formation energy (no corrections) at -0.309 eV per atom.

---

No. 7
Entry from the Alexandria database: an optimized crystal structure of LiLa3In3 (PBE).

It has space group C2/m (No. 12), with a = 11.5458 Å, b = 4.9091 Å, c = 16.0342 Å, α = 90.00°, β = 110.16° and γ = 90.00°. The inequivalent atoms are Li at (0.2450, 0.0000, 0.4036), La at (0.0443, 0.5000, 0.3841), La at (0.0946, 0.5000, 0.9204), La at (0.2454, 0.5000, 0.2256), In at (0.0397, 0.0000, 0.2357), In at (0.1176, 0.0000, 0.0753) and In at (0.1322, 0.0000, 0.5498).

The formation energy comes out at -410 meV/atom. The value obtained for the density of states at the Fermi level is 6.81 states/eV/f.u.

---

No. 8
Entry from the Alexandria database: an optimized crystal structure of La4InI2Br (PBE).

It has space group P2/m (No. 10), with a = 7.5154 Å, b = 4.5888 Å, c = 8.2673 Å, α = 90.00°, β = 109.88° and γ = 90.00°. The inequivalent atoms are La at (0.2310, 0.0000, 0.2208), La at (0.2473, 0.5000, 0.7723), In at (0.5000, 0.0000, 0.0000), I at (0.0000, 0.0000, 0.5000), I at (0.5000, 0.5000, 0.5000) and Br at (0.0000, 0.5000, 0.0000).

The value obtained for the density of states at the Fermi level is 5.90 states/eV/f.u. The calculation puts the formation energy (no corrections) at -0.935 eV per atom.

---

No. 9
Entry from the Alexandria database: an optimized crystal structure of Cs2ZrPtO4 (PBE).

It has space group Fddd (No. 70, origin choice 2), with a = 5.6246 Å, b = 13.6312 Å, c = 23.3860 Å, α = 90.00°, β = 90.00° and γ = 90.00°. The inequivalent atoms are Cs at (0.1250, 0.1250, 0.3096), Zr at (0.1250, 0.1250, 0.1250), Pt at (0.1250, 0.1250, 0.6250) and O at (0.1151, 0.2725, 0.3999).

The calculation puts the formation energy (no corrections) at -1.527 eV per atom.

---

No. 10
Entry from the Alexandria database: an optimized crystal structure of TcAg2P (PBE).

It has space group R3m (No. 160, hexagonal axes), with a = 2.9683 Å, b = 2.9683 Å, c = 25.9469 Å, α = 90.00°, β = 90.00° and γ = 120.00°. The inequivalent atoms are Tc at (0.0000, 0.0000, 0.0000), Ag at (0.0000, 0.0000, 0.5162), Ag at (0.0000, 0.0000, 0.7586) and P at (0.0000, 0.0000, 0.2729).

The formation energy comes out at 54 meV/atom. The value obtained for the density of states at the Fermi level is 2.40 states/eV/f.u.

---

No. 11
Entry from the Alexandria database: an optimized crystal structure of PrY3Er6Th2 (PBE).

It has space group C2/m (No. 12), with a = 6.1790 Å, b = 10.6921 Å, c = 11.7111 Å, α = 90.00°, β = 100.15° and γ = 90.00°. The inequivalent atoms are Pr at (0.0000, 0.0000, 0.0000), Y at (0.0000, 0.1663, 0.5000), Y at (0.0000, 0.5000, 0.5000), Er at (0.2452, 0.5000, 0.2482), Er at (0.2472, 0.3309, 0.7519) and Th at (0.0000, 0.3333, 0.0000).

The formation energy comes out at 35 meV/atom. The value obtained for the density of states at the Fermi level is 17.74 states/eV/f.u.

---

No. 12
Entry from the Alexandria database: an optimized crystal structure of Ti2CdHPt (PBE).

It has space group P4/mmm (No. 123), with a = 4.1603 Å, b = 4.1603 Å, c = 4.0255 Å, α = 90.00°, β = 90.00° and γ = 90.00°. The inequivalent atoms are Ti at (0.0000, 0.5000, 0.0000), Cd at (0.0000, 0.0000, 0.5000), H at (0.5000, 0.5000, 0.0000) and Pt at (0.5000, 0.5000, 0.5000).

As for the offset from the most stable computed form: 0.000 eV per atom. The value obtained for the density of states at the Fermi level is 5.23 states/eV/f.u.

---

E_tot for the records above, in order: -0.57151; -0.30796; -0.22514; -0.10623; -0.38631; -0.17191; -0.29172; -0.31879; -0.44414; -0.39065; -0.40406; -0.40931 Ry/atom